## La8Rh3Au2 (PBE)

Data for a relaxed La8Rh3Au2 crystal.

a = 8.9381 Å, b = 5.0942 Å, c = 8.9789 Å
α = 90.00°, β = 109.20°, γ = 90.00°
Fractional coordinates of all 13 atoms:
1 La 0.1166 0.0000 0.3851
2 La 0.1264 0.5000 0.8610
3 La 0.3614 0.5000 0.6274
4 La 0.3813 0.0000 0.1180
5 La 0.6187 0.0000 0.8820
6 La 0.6386 0.5000 0.3726
7 La 0.8736 0.5000 0.1390
8 La 0.8834 0.0000 0.6149
9 Rh 0.0000 0.5000 0.5000
10 Rh 0.2649 0.0000 0.7655
11 Rh 0.7351 0.0000 0.2345
12 Au 0.2575 0.5000 0.2427
13 Au 0.7425 0.5000 0.7573

Output
Volume, Å³/f.u.: 386.1
Calculated formation energy, kJ/mol of formula units: -678
D(E_F), states/eV/f.u.: 16.78

=====

## Er12Tl6Rh (PBE)

Data for a relaxed Er12Tl6Rh crystal.

a = 8.2650 Å, b = 8.2650 Å, c = 8.2650 Å
α = 93.84°, β = 93.84°, γ = 93.84°
Fractional coordinates of all 19 atoms:
1 Er 0.0450 0.9250 0.7062
2 Er 0.0750 0.2938 0.9550
3 Er 0.1879 0.4073 0.5334
4 Er 0.2938 0.9550 0.0750
5 Er 0.4073 0.5334 0.1879
6 Er 0.4666 0.8121 0.5927
7 Er 0.5334 0.1879 0.4073
8 Er 0.5927 0.4666 0.8121
9 Er 0.7062 0.0450 0.9250
10 Er 0.8121 0.5927 0.4666
11 Er 0.9250 0.7062 0.0450
12 Er 0.9550 0.0750 0.2938
13 Tl 0.1468 0.7691 0.3663
14 Tl 0.2309 0.6337 0.8532
15 Tl 0.3663 0.1468 0.7691
16 Tl 0.6337 0.8532 0.2309
17 Tl 0.7691 0.3663 0.1468
18 Tl 0.8532 0.2309 0.6337
19 Rh 0.5000 0.5000 0.5000

Output
Volume, Å³/f.u.: 560.6
Calculated formation energy, kJ/mol of formula units: -339
D(E_F), states/eV/f.u.: 17.20

=====

## Ta2NbMoS (PBE)

Data for a relaxed Ta2NbMoS crystal.

a = 4.9293 Å, b = 4.9293 Å, c = 4.7330 Å
α = 90.00°, β = 90.00°, γ = 90.00°
Fractional coordinates of all 5 atoms:
1 Ta 0.0000 0.5000 0.0000
2 Ta 0.5000 0.0000 0.0000
3 Nb 0.0000 0.0000 0.0000
4 Mo 0.0000 0.0000 0.5000
5 S 0.5000 0.5000 0.5000

Output
Volume, Å³/f.u.: 115.0
VASP energy, eV for the cell shown: -39.3
D(E_F), states/eV/f.u.: 3.84

=====

## Li5Ga2Ag (PBE)

Data for a relaxed Li5Ga2Ag crystal.

a = 6.4744 Å, b = 5.4916 Å, c = 5.4779 Å
α = 72.34°, β = 53.93°, γ = 53.73°
Fractional coordinates of all 8 atoms:
1 Li 0.0000 0.0000 0.0000
2 Li 0.0000 0.0000 0.5000
3 Li 0.0000 0.5000 0.0000
4 Li 0.5000 0.0000 0.5000
5 Li 0.5000 0.5000 0.0000
6 Ga 0.0000 0.5000 0.5000
7 Ga 0.5000 0.0000 0.0000
8 Ag 0.5000 0.5000 0.5000

Output
Volume, Å³/f.u.: 126.6
Calculated formation energy, kJ/mol of formula units: -173
D(E_F), states/eV/f.u.: 2.35

=====

## NaCaAc (PBE)

Data for a relaxed NaCaAc crystal.

a = 10.0947 Å, b = 10.0947 Å, c = 7.2462 Å
α = 90.00°, β = 90.00°, γ = 158.59°
Fractional coordinates of all 6 atoms:
1 Na 0.1666 0.8334 0.7500
2 Na 0.8334 0.1666 0.2500
3 Ca 0.3495 0.6505 0.7500
4 Ca 0.6505 0.3495 0.2500
5 Ac 0.0000 0.0000 0.0000
6 Ac 0.0000 0.0000 0.5000

Output
Relative energy among the computed polymorphs, meV per atom: 184
Volume, Å³/f.u.: 134.8
Calculated formation energy, kJ/mol of formula units: 70
D(E_F), states/eV/f.u.: 3.59

=====

## Tc2OsCl (PBE)

Data for a relaxed Tc2OsCl crystal.

a = 2.8141 Å, b = 3.6601 Å, c = 6.9742 Å
α = 90.00°, β = 90.00°, γ = 90.00°
Fractional coordinates of all 4 atoms:
1 Tc 0.0000 0.0000 0.0000
2 Tc 0.5000 0.5000 0.2086
3 Os 0.5000 0.5000 0.8401
4 Cl 0.0000 0.0000 0.4281

Output
Relative energy among the computed polymorphs, meV per atom: 425
Volume, Å³/f.u.: 71.8
D(E_F), states/eV/f.u.: 4.07

=====

## Zr2CoPd2 (PBE)

Data for a relaxed Zr2CoPd2 crystal.

a = 7.0077 Å, b = 7.0077 Å, c = 3.6559 Å
α = 90.00°, β = 90.00°, γ = 90.00°
Fractional coordinates of all 10 atoms:
1 Zr 0.1763 0.3237 0.0000
2 Zr 0.3237 0.8237 0.0000
3 Zr 0.6763 0.1763 0.0000
4 Zr 0.8237 0.6763 0.0000
5 Co 0.0000 0.0000 0.5000
6 Co 0.5000 0.5000 0.5000
7 Pd 0.1330 0.6330 0.5000
8 Pd 0.3670 0.1330 0.5000
9 Pd 0.6330 0.8670 0.5000
10 Pd 0.8670 0.3670 0.5000

Output
Volume, Å³/f.u.: 89.8
Calculated formation energy, kJ/mol of formula units: -134
D(E_F), states/eV/f.u.: 6.08

=====

## Ag2PbAuBr8 (PBE)

Data for a relaxed Ag2PbAuBr8 crystal.

a = 6.7330 Å, b = 8.1558 Å, c = 7.4725 Å
α = 90.00°, β = 93.42°, γ = 90.00°
Fractional coordinates of all 12 atoms:
1 Ag 0.0000 0.2431 0.0000
2 Ag 0.0000 0.7569 0.0000
3 Pb 0.5000 0.5000 0.5000
4 Au 0.5000 0.0000 0.5000
5 Br 0.1928 0.5000 0.1680
6 Br 0.2111 0.0000 0.1519
7 Br 0.2840 0.2101 0.6461
8 Br 0.2840 0.7899 0.6461
9 Br 0.7160 0.2101 0.3539
10 Br 0.7160 0.7899 0.3539
11 Br 0.7889 0.0000 0.8481
12 Br 0.8072 0.5000 0.8320

Output
Volume, Å³/f.u.: 409.6
VASP energy, eV for the cell shown: -30.1
D(E_F), states/eV/f.u.: 9.48

=====

## CaNiRh2N (PBE)

Data for a relaxed CaNiRh2N crystal.

a = 4.2162 Å, b = 4.2162 Å, c = 3.8886 Å
α = 90.00°, β = 90.00°, γ = 90.00°
Fractional coordinates of all 5 atoms:
1 Ca 0.0000 0.0000 0.0000
2 Ni 0.5000 0.5000 0.0000
3 Rh 0.0000 0.5000 0.5000
4 Rh 0.5000 0.0000 0.5000
5 N 0.5000 0.5000 0.5000

Output
Relative energy among the computed polymorphs, meV per atom: 0
Volume, Å³/f.u.: 69.1
D(E_F), states/eV/f.u.: 4.40

=====

## Ho2Cd3In (PBE)

Data for a relaxed Ho2Cd3In crystal.

a = 9.9030 Å, b = 9.2408 Å, c = 6.0564 Å
α = 77.62°, β = 65.70°, γ = 36.68°
Fractional coordinates of all 12 atoms:
1 Ho 0.2494 0.7506 0.7506
2 Ho 0.2500 0.2500 0.2500
3 Ho 0.7500 0.7500 0.7500
4 Ho 0.7506 0.2494 0.2494
5 Cd 0.1657 0.1657 0.8343
6 Cd 0.1659 0.6686 0.3314
7 Cd 0.3314 0.8341 0.1659
8 Cd 0.6686 0.1659 0.8341
9 Cd 0.8341 0.3314 0.6686
10 Cd 0.8343 0.8343 0.1657
11 In 0.3336 0.3336 0.6664
12 In 0.6664 0.6664 0.3336

Output
Volume, Å³/f.u.: 147.4
Calculated formation energy, kJ/mol of formula units: -201
D(E_F), states/eV/f.u.: 4.13

=====

## Mn2Zn2Ga (PBE)

Data for a relaxed Mn2Zn2Ga crystal.

a = 6.1925 Å, b = 6.1925 Å, c = 3.7832 Å
α = 90.00°, β = 90.00°, γ = 90.00°
Fractional coordinates of all 10 atoms:
1 Mn 0.1342 0.3658 0.0000
2 Mn 0.3658 0.8658 0.0000
3 Mn 0.6342 0.1342 0.0000
4 Mn 0.8658 0.6342 0.0000
5 Zn 0.1608 0.6608 0.5000
6 Zn 0.3392 0.1608 0.5000
7 Zn 0.6608 0.8392 0.5000
8 Zn 0.8392 0.3392 0.5000
9 Ga 0.0000 0.0000 0.0000
10 Ga 0.5000 0.5000 0.0000

Output
Relative energy among the computed polymorphs, meV per atom: 10
Volume, Å³/f.u.: 72.5
Calculated formation energy, kJ/mol of formula units: 69
D(E_F), states/eV/f.u.: 2.83

=====

## PtC3F (PBE)

Data for a relaxed PtC3F crystal.

a = 3.7141 Å, b = 3.7141 Å, c = 3.7141 Å
α = 90.00°, β = 90.00°, γ = 90.00°
Fractional coordinates of all 5 atoms:
1 Pt 0.0000 0.0000 0.0000
2 C 0.0000 0.5000 0.5000
3 C 0.5000 0.0000 0.5000
4 C 0.5000 0.5000 0.0000
5 F 0.5000 0.5000 0.5000

Output
Relative energy among the computed polymorphs, meV per atom: 787
Volume, Å³/f.u.: 51.2
D(E_F), states/eV/f.u.: 1.71

=====

## BaSnS (PBE)

Data for a relaxed BaSnS crystal.

a = 4.4122 Å, b = 4.4122 Å, c = 10.5961 Å
α = 90.00°, β = 90.00°, γ = 90.00°
Fractional coordinates of all 6 atoms:
1 Ba 0.2500 0.2500 0.1529
2 Ba 0.7500 0.7500 0.8471
3 Sn 0.2500 0.7500 0.5000
4 Sn 0.7500 0.2500 0.5000
5 S 0.2500 0.2500 0.8540
6 S 0.7500 0.7500 0.1460

Output
Volume, Å³/f.u.: 103.1
VASP energy, eV for the cell shown: -26.6
D(E_F), states/eV/f.u.: 1.60

=====

## TbSm2ThSc4 (PBE)

Data for a relaxed TbSm2ThSc4 crystal.

a = 5.0076 Å, b = 5.0076 Å, c = 9.0710 Å
α = 90.00°, β = 90.00°, γ = 90.00°
Fractional coordinates of all 8 atoms:
1 Tb 0.0000 0.0000 0.0000
2 Sm 0.0000 0.0000 0.5000
3 Sm 0.5000 0.5000 0.0000
4 Th 0.5000 0.5000 0.5000
5 Sc 0.0000 0.5000 0.2529
6 Sc 0.0000 0.5000 0.7471
7 Sc 0.5000 0.0000 0.2529
8 Sc 0.5000 0.0000 0.7471

Output
Volume, Å³/f.u.: 227.5
Calculated formation energy, kJ/mol of formula units: 33
D(E_F), states/eV/f.u.: 10.39

=====

## Sr4SiH2 (PBE)

Data for a relaxed Sr4SiH2 crystal.

a = 7.8911 Å, b = 7.8911 Å, c = 7.8911 Å
α = 135.17°, β = 135.17°, γ = 65.26°
Fractional coordinates of all 7 atoms:
1 Sr 0.0000 0.5000 0.5000
2 Sr 0.2346 0.2346 0.0000
3 Sr 0.5000 0.0000 0.5000
4 Sr 0.7654 0.7654 0.0000
5 Si 0.0000 0.0000 0.0000
6 H 0.4116 0.4116 0.0000
7 H 0.5884 0.5884 0.0000

Output
Volume, Å³/f.u.: 240.7
VASP energy, eV for the cell shown: -19.5
D(E_F), states/eV/f.u.: 4.22

=====

## La2ZnAg6 (PBE)

Data for a relaxed La2ZnAg6 crystal.

a = 6.2263 Å, b = 6.2263 Å, c = 5.9638 Å
α = 90.07°, β = 90.07°, γ = 60.08°
Fractional coordinates of all 9 atoms:
1 La 0.1669 0.1669 0.3418
2 La 0.8331 0.8331 0.6582
3 Zn 0.5000 0.5000 0.5000
4 Ag 0.1453 0.6774 0.1774
5 Ag 0.3233 0.3233 0.8226
6 Ag 0.3226 0.8547 0.8226
7 Ag 0.6774 0.1453 0.1774
8 Ag 0.6767 0.6767 0.1774
9 Ag 0.8547 0.3226 0.8226

Output
Volume, Å³/f.u.: 200.4
Calculated formation energy, kJ/mol of formula units: -170
D(E_F), states/eV/f.u.: 4.69

=====

## Nb2TcGeW (PBE)

Data for a relaxed Nb2TcGeW crystal.

a = 4.7943 Å, b = 4.7943 Å, c = 4.5366 Å
α = 90.00°, β = 90.00°, γ = 90.00°
Fractional coordinates of all 5 atoms:
1 Nb 0.0000 0.5000 0.0000
2 Nb 0.5000 0.0000 0.0000
3 Tc 0.0000 0.0000 0.0000
4 Ge 0.0000 0.0000 0.5000
5 W 0.5000 0.5000 0.5000

Output
Volume, Å³/f.u.: 104.3
Calculated formation energy, kJ/mol of formula units: 694
D(E_F), states/eV/f.u.: 6.84

=====

## Ag3SnC (PBE)

Data for a relaxed Ag3SnC crystal.

a = 5.2693 Å, b = 5.2693 Å, c = 5.2693 Å
α = 90.00°, β = 90.00°, γ = 90.00°
Fractional coordinates of all 5 atoms:
1 Ag 0.0000 0.0000 0.5000
2 Ag 0.0000 0.5000 0.0000
3 Ag 0.5000 0.0000 0.0000
4 Sn 0.0000 0.0000 0.0000
5 C 0.5000 0.5000 0.5000

Output
Relative energy among the computed polymorphs, meV per atom: 1116
Volume, Å³/f.u.: 146.3
Calculated formation energy, kJ/mol of formula units: 910
D(E_F), states/eV/f.u.: 3.43

=====

## Cs2KNaCl4 (PBE)

Data for a relaxed Cs2KNaCl4 crystal.

a = 9.2842 Å, b = 9.2842 Å, c = 9.2365 Å
α = 119.80°, β = 119.80°, γ = 89.95°
Fractional coordinates of all 16 atoms:
1 Cs 0.0000 0.0000 0.0000
2 Cs 0.0000 0.0000 0.5000
3 Cs 0.0000 0.5000 0.0000
4 Cs 0.5000 0.0000 0.5000
5 K 0.0000 0.5000 0.5000
6 K 0.5000 0.0000 0.0000
7 Na 0.5000 0.5000 0.0000
8 Na 0.5000 0.5000 0.5000
9 Cl 0.2698 0.7302 0.5180
10 Cl 0.2698 0.7302 0.9820
11 Cl 0.2728 0.2896 0.5304
12 Cl 0.2896 0.2728 0.0304
13 Cl 0.7104 0.7272 0.9696
14 Cl 0.7272 0.7104 0.4696
15 Cl 0.7302 0.2698 0.0180
16 Cl 0.7302 0.2698 0.4820

Output
Volume, Å³/f.u.: 283.3
VASP energy, eV for the cell shown: -53.1
D(E_F), states/eV/f.u.: 0.00

=====

## TiPdPt (PBE)

Data for a relaxed TiPdPt crystal.

a = 5.0155 Å, b = 4.4590 Å, c = 8.3087 Å
α = 90.00°, β = 90.00°, γ = 90.00°
Fractional coordinates of all 12 atoms:
1 Ti 0.1699 0.2500 0.1427
2 Ti 0.3301 0.7500 0.6427
3 Ti 0.6699 0.2500 0.3573
4 Ti 0.8301 0.7500 0.8573
5 Pd 0.1450 0.2500 0.8210
6 Pd 0.3550 0.7500 0.3210
7 Pd 0.6450 0.2500 0.6790
8 Pd 0.8550 0.7500 0.1790
9 Pt 0.1646 0.2500 0.4780
10 Pt 0.3354 0.7500 0.9780
11 Pt 0.6646 0.2500 0.0220
12 Pt 0.8354 0.7500 0.5220

Output
Relative energy among the computed polymorphs, meV per atom: 0
Volume, Å³/f.u.: 46.5
Calculated formation energy, kJ/mol of formula units: -230
D(E_F), states/eV/f.u.: 1.99